This record from Alexandria via LeMat-Bulk describes crystalline La6Nd12Pb at its relaxed geometry. The functional is PBE-GGA.

Results
**Volume**: 36.34 Å³ per atom
**Formation enthalpy at 0 K**: 0.05 eV per atom

a b c (Å): 13.5260 13.5260 13.0743
angles (deg): 90.00 90.00 120.00
Space group R-3 (No. 148, hexagonal axes)
Symmetry-distinct sites (fractional):
La 0.0900 0.1822 0.2736 x18
Nd 0.0007 0.2584 0.5003 x18
Nd 0.0565 0.5285 0.6138 x18
Pb 0.0000 0.0000 0.5000 x3